# ZrCd2

A crystal of ZrCd2 relaxed with PBEsol (SCAN, Alexandria).

Lattice parameters (Å, degrees): 5.5774 5.5774 5.5774 60.00 60.00 60.00
Fractional coordinates of all 6 atoms:
Zr 0.1250 0.1250 0.1250
Zr 0.8750 0.8750 0.8750
Cd 0.0000 0.5000 0.5000
Cd 0.5000 0.0000 0.5000
Cd 0.5000 0.5000 0.0000
Cd 0.5000 0.5000 0.5000

Calculated values
- Calculated formation energy: -153 meV/atom
- Density of states at the Fermi level: 0.4644 states/eV/atom
- ρ: 8.56 g cm⁻³
- Symmetry: Fd-3m, No. 227